1.
The following is a meta-GGA SCAN calculation of a crystal of CdAgPt2 relaxed with PBEsol, from Alexandria.

- E: -50.716 eV per atom
- Space group: No. 123
- DFT formation energy: -174 meV per atom

Cell: 4.011 4.001 4.014 Å, 90.00 90.00 90.00°
Atoms (fractional coordinates):
Pt 0.500 0.000 0.500
Pt 0.000 0.000 0.000
Cd 0.000 0.500 0.500
Ag 0.500 0.500 0.000

***

2.
The following is a meta-GGA SCAN calculation of a crystal of CdAgPt relaxed with PBEsol, from Alexandria.

- E: -44.126 eV per atom
- Relative energy among the computed polymorphs: 45 meV/atom
- Space group: No. 156
- DFT formation energy: -135 meV per atom

Cell: 2.844 4.513 4.513 Å, 120.00 90.00 90.00°
Atoms (fractional coordinates):
Cd 0.672 0.333 0.667
Ag 0.994 0.000 0.000
Pt 0.334 0.667 0.333

***

3.
The following is a meta-GGA SCAN calculation of a crystal of CdAgPt2 relaxed with PBEsol, from Alexandria.

- E: -50.698 eV per atom
- Space group: No. 65
- DFT formation energy: -156 meV per atom

Cell: 2.875 4.857 4.857 Å, 108.19 90.00 90.00°
Atoms (fractional coordinates):
Ag 0.500 0.000 0.000
Cd 0.500 0.500 0.500
Pt 0.000 0.000 0.500
Pt 0.000 0.500 0.000

***

4.
The following is a meta-GGA SCAN calculation of a crystal of CdAgPt2 relaxed with PBEsol, from Alexandria.

- E: -50.654 eV per atom
- Space group: No. 12
- DFT formation energy: -112 meV per atom

Cell: 2.833 2.833 9.390 Å, 81.23 81.23 60.06°
Atoms (fractional coordinates):
Pt 0.250 0.250 0.250
Pt 0.750 0.750 0.750
Cd 0.000 0.000 0.000
Ag 0.500 0.500 0.500

***

5.
The following is a meta-GGA SCAN calculation of a crystal of CdAg2Pt relaxed with PBEsol, from Alexandria.

- E: -40.912 eV per atom
- Space group: No. 47
- DFT formation energy: -77 meV per atom

Cell: 2.856 4.101 5.670 Å, 90.00 90.00 90.00°
Atoms (fractional coordinates):
Ag 0.000 0.000 0.256
Ag 0.000 0.000 0.744
Cd 0.500 0.500 0.000
Pt 0.500 0.500 0.500

***

6.
The following is a meta-GGA SCAN calculation of a crystal of CdAgPt2 relaxed with PBEsol, from Alexandria.

- E: -50.624 eV per atom
- Space group: No. 216
- DFT formation energy: -82 meV per atom

Cell: 4.513 4.513 4.513 Å, 60.00 60.00 60.00°
Atoms (fractional coordinates):
Pt 0.000 0.000 0.000
Pt 0.250 0.250 0.250
Cd 0.750 0.750 0.750
Ag 0.500 0.500 0.500

***

7.
The following is a meta-GGA SCAN calculation of a crystal of CdAgPt2 relaxed with PBEsol, from Alexandria.

- E: -50.715 eV per atom
- Space group: No. 139
- DFT formation energy: -173 meV per atom

Cell: 4.021 4.021 4.896 Å, 114.25 114.25 90.00°
Atoms (fractional coordinates):
Cd 0.000 0.000 0.000
Ag 0.500 0.500 0.000
Pt 0.750 0.250 0.500
Pt 0.250 0.750 0.500

***

8.
The following is a meta-GGA SCAN calculation of a crystal of CdAg2Pt relaxed with PBEsol, from Alexandria.

- E: -40.967 eV per atom
- Space group: No. 25
- DFT formation energy: -131 meV per atom

Cell: 2.891 4.003 5.735 Å, 90.00 90.02 90.00°
Atoms (fractional coordinates):
Cd 0.000 0.000 0.509
Pt 0.500 0.500 0.748
Ag 0.500 0.500 0.243
Ag 0.000 0.000 0.001

***

9.
The following is a meta-GGA SCAN calculation of a crystal of CdAg2Pt relaxed with PBEsol, from Alexandria.

- E: -40.988 eV per atom
- Space group: No. 123
- DFT formation energy: -152 meV per atom

Cell: 4.006 4.006 4.119 Å, 90.00 90.00 90.00°
Atoms (fractional coordinates):
Cd 0.500 0.500 0.500
Ag 0.000 0.500 0.000
Ag 0.500 0.000 0.000
Pt 0.000 0.000 0.500

***

10.
The following is a meta-GGA SCAN calculation of a crystal of CdAgPt2 relaxed with PBEsol, from Alexandria.

- E: -50.625 eV per atom
- Space group: No. 44
- DFT formation energy: -84 meV per atom

Cell: 2.843 4.782 5.569 Å, 115.43 104.79 90.00°
Atoms (fractional coordinates):
Ag 0.495 0.495 0.989
Pt 0.744 0.244 0.487
Pt 0.005 0.005 0.011
Cd 0.256 0.756 0.513

***

11.
The following is a meta-GGA SCAN calculation of a crystal of CdAg2Pt relaxed with PBEsol, from Alexandria.

- E: -40.943 eV per atom
- Space group: No. 99
- DFT formation energy: -107 meV per atom

Cell: 2.892 2.892 7.953 Å, 90.00 90.00 90.00°
Atoms (fractional coordinates):
Ag 0.000 0.000 0.995
Ag 0.500 0.500 0.244
Pt 0.500 0.500 0.752
Cd 0.000 0.000 0.509

***

12.
The following is a meta-GGA SCAN calculation of a crystal of CdAg2Pt relaxed with PBEsol, from Alexandria.

- E: -40.933 eV per atom
- Space group: No. 8
- DFT formation energy: -97 meV per atom

Cell: 2.902 4.930 4.947 Å, 100.20 89.95 107.18°
Atoms (fractional coordinates):
Cd 0.497 0.993 0.489
Ag 0.251 0.502 0.760
Ag 0.003 0.006 0.996
Pt 0.750 0.499 0.256

***

> The highest E belongs to which entry?

number 5